Record 1
# Er2UTl3S6

Crystalline Er2UTl3S6 at its relaxed geometry (PBE, Alexandria).

Structure (CIF):
```
data_Er2UTl3S6
_space_group_name_H-M_alt 'C 1 2/m 1'
_space_group_IT_number 12
_cell_length_a 6.9481
_cell_length_b 12.0282
_cell_length_c 7.9391
_cell_angle_alpha 90.00
_cell_angle_beta 106.94
_cell_angle_gamma 90.00
loop_
_space_group_symop_operation_xyz
'x,y,z'
'-x,-y,-z'
'-x,y,-z'
'x,-y,z'
'x+1/2,y+1/2,z'
'-x+1/2,-y+1/2,-z'
'-x+1/2,y+1/2,-z'
'x+1/2,-y+1/2,z'
loop_
_atom_site_label
_atom_site_fract_x
_atom_site_fract_y
_atom_site_fract_z
_atom_site_occupancy
Er1 0.0000 0.1666 0.0000 1
U1 0.0000 0.5000 0.0000 1
Tl1 0.0000 0.0000 0.5000 1
Tl2 0.0000 0.3329 0.5000 1
S1 0.2290 0.0000 0.1946 1
S2 0.2328 0.3321 0.1943 1
```

ΔE_f (raw) = -1307 meV per atom
Final energy = -135.93 eV/cell



Record 2
# Er4UTlS8

Crystalline Er4UTlS8 at its relaxed geometry (PBE, Alexandria).

Structure (CIF):
```
data_Er4UTlS8
_space_group_name_H-M_alt 'R 3 m'
_space_group_IT_number 160
_space_group_name_Hall 'R 3 -2"'
_cell_length_a 8.1708
_cell_length_b 8.1708
_cell_length_c 19.9808
_cell_angle_alpha 90.00
_cell_angle_beta 90.00
_cell_angle_gamma 120.00
loop_
_atom_site_label
_atom_site_fract_x
_atom_site_fract_y
_atom_site_fract_z
_atom_site_occupancy
Er1 0.0000 0.0000 0.0000 1
Er2 0.1714 0.3428 0.2078 1
U1 0.0000 0.0000 0.3771 1
Tl1 0.0000 0.0000 0.7515 1
S1 0.0000 0.0000 0.1327 1
S2 0.0000 0.0000 0.6093 1
S3 0.0457 0.5228 0.1310 1
S4 0.1744 0.3489 0.9533 1
```

ΔE_f (raw) = -1651 meV per atom
Final energy = -264.11 eV/cell



Record 3
# ErUTl2S6

Crystalline ErUTl2S6 at its relaxed geometry (PBE, Alexandria).

Structure (CIF):
```
data_ErUTl2S6
_space_group_name_H-M_alt 'P 1 21/c 1'
_space_group_IT_number 14
_cell_length_a 7.1285
_cell_length_b 7.2199
_cell_length_c 12.4558
_cell_angle_alpha 90.00
_cell_angle_beta 124.75
_cell_angle_gamma 90.00
loop_
_space_group_symop_operation_xyz
'x,y,z'
'-x,-y,-z'
'-x,y+1/2,-z+1/2'
'x,-y+1/2,z+1/2'
loop_
_atom_site_label
_atom_site_fract_x
_atom_site_fract_y
_atom_site_fract_z
_atom_site_occupancy
Er1 0.0000 0.0000 0.0000 1
U1 0.5000 0.0000 0.5000 1
Tl1 0.2410 0.0447 0.7485 1
S1 0.1657 0.1923 0.4605 1
S2 0.2666 0.7074 0.4564 1
S3 0.3402 0.0171 0.2564 1
```

ΔE_f (raw) = -991 meV per atom
Final energy = -110.52 eV/cell